Below is a geometry-optimized Y3ScCd6 structure, with properties calculated at the GGA-PBE level.

Lattice parameters (Å, degrees): 9.059 5.108 10.947 90.00 105.63 90.00
Positions (direct):
Y 0.032 0.250 0.394
Y 0.152 0.750 0.216
Y 0.262 0.250 0.002
Y 0.738 0.750 0.998
Y 0.848 0.250 0.784
Y 0.968 0.750 0.606
Sc 0.448 0.250 0.599
Sc 0.552 0.750 0.401
Cd 0.048 0.750 0.909
Cd 0.170 0.250 0.703
Cd 0.272 0.750 0.515
Cd 0.353 0.750 0.815
Cd 0.367 0.250 0.311
Cd 0.452 0.750 0.116
Cd 0.548 0.250 0.884
Cd 0.633 0.750 0.689
Cd 0.647 0.250 0.185
Cd 0.728 0.250 0.485
Cd 0.830 0.750 0.297
Cd 0.952 0.250 0.091

Values from the calculation:
Its density of states at the Fermi level is 7.6 states/eV/f.u. The energy of formation from the pure elements comes out at -296 meV per atom.